# Li6AlGe PBE optimized geometry
data_Li6AlGe
_cell_length_a 4.178
_cell_length_b 7.209
_cell_length_c 8.521
_cell_angle_alpha 90.00
_cell_angle_beta 90.00
_cell_angle_gamma 90.00
_space_group_name_H-M_alt 'A m m 2'
_space_group_IT_number 38
loop_
_space_group_symop_operation_xyz
'x,y,z'
'-x,-y,z'
'-x,y,z'
'x,-y,z'
'x,y+1/2,z+1/2'
'-x,-y+1/2,z+1/2'
'-x,y+1/2,z+1/2'
'x,-y+1/2,z+1/2'
loop_
_atom_site_label
_atom_site_fract_x
_atom_site_fract_y
_atom_site_fract_z
Li1 0.000 0.000 0.000
Li2 0.000 0.232 0.723
Li3 0.500 0.000 0.673
Li4 0.500 0.234 0.963
Al1 0.500 0.000 0.240
Ge1 0.000 0.000 0.450
# Energy relative to the elements, kJ/mol of formula units: -141.2


# CaMn2Pt PBE optimized geometry
data_CaMn2Pt
_cell_length_a 4.1901
_cell_length_b 4.1901
_cell_length_c 16.2037
_cell_angle_alpha 90.00
_cell_angle_beta 90.00
_cell_angle_gamma 120.00
_space_group_name_H-M_alt 'R 3 m'
_space_group_IT_number 160
_space_group_name_Hall 'R 3 -2"'
loop_
_atom_site_label
_atom_site_fract_x
_atom_site_fract_y
_atom_site_fract_z
Ca1 0.0000 0.0000 0.0000
Mn1 0.0000 0.0000 0.1914
Mn2 0.0000 0.0000 0.5196
Pt1 0.0000 0.0000 0.7911
# Energy relative to the elements, kJ/mol of formula units: -67.0


# Pm2Cu2Br PBE optimized geometry
data_Pm2Cu2Br
_cell_length_a 4.1832
_cell_length_b 4.1832
_cell_length_c 24.3884
_cell_angle_alpha 90.00
_cell_angle_beta 90.00
_cell_angle_gamma 120.00
_space_group_name_H-M_alt 'R -3 m'
_space_group_IT_number 166
_space_group_name_Hall '-R 3 2"'
loop_
_atom_site_label
_atom_site_fract_x
_atom_site_fract_y
_atom_site_fract_z
Pm1 0.0000 0.0000 0.0730
Cu1 0.0000 0.0000 0.3326
Br1 0.0000 0.0000 0.5000
# Energy relative to the elements, uncorrected, kJ/mol of formula units: -308


# SrMgCu2Ag PBE optimized geometry
data_SrMgCu2Ag
_cell_length_a 4.981
_cell_length_b 4.981
_cell_length_c 5.603
_cell_angle_alpha 90.00
_cell_angle_beta 90.00
_cell_angle_gamma 90.00
_space_group_name_H-M_alt 'P 4/m m m'
_space_group_IT_number 123
_space_group_name_Hall '-P 4 2'
loop_
_atom_site_label
_atom_site_fract_x
_atom_site_fract_y
_atom_site_fract_z
Sr1 0.000 0.000 0.000
Mg1 0.500 0.500 0.000
Cu1 0.000 0.500 0.500
Ag1 0.000 0.000 0.500
# Energy relative to the elements, kJ/mol of formula units: 242.9
# Energy above the most stable polymorph in this dataset, meV/atom: 264


# TmUGa PBE optimized geometry
data_TmUGa
_cell_length_a 5.521
_cell_length_b 8.459
_cell_length_c 12.481
_cell_angle_alpha 90.00
_cell_angle_beta 90.00
_cell_angle_gamma 90.00
_space_group_name_H-M_alt 'F m m m'
_space_group_IT_number 69
_space_group_name_Hall '-F 2 2'
loop_
_atom_site_label
_atom_site_fract_x
_atom_site_fract_y
_atom_site_fract_z
Tm1 0.000 0.177 0.000
U1 0.250 0.250 0.250
Ga1 0.000 0.000 0.394
# Energy relative to the elements, kJ/mol of formula units: 45.2


# SrCuSe2 PBE optimized geometry
data_SrCuSe2
_cell_length_a 7.147
_cell_length_b 7.147
_cell_length_c 7.147
_cell_angle_alpha 90.00
_cell_angle_beta 90.00
_cell_angle_gamma 90.00
_space_group_name_H-M_alt 'F m -3 m'
_space_group_IT_number 225
_space_group_name_Hall '-F 4 2 3'
loop_
_atom_site_label
_atom_site_fract_x
_atom_site_fract_y
_atom_site_fract_z
Sr1 0.000 0.000 0.000
Cu1 0.000 0.000 0.500
Se1 0.250 0.250 0.250
# Energy relative to the elements, uncorrected, kJ/mol of formula units: -226


# PmPu2TaN4 PBE optimized geometry
data_PmPu2TaN4
_cell_length_a 3.388
_cell_length_b 11.958
_cell_length_c 12.314
_cell_angle_alpha 90.00
_cell_angle_beta 90.00
_cell_angle_gamma 90.00
_space_group_name_H-M_alt 'C m c m'
_space_group_IT_number 63
_space_group_name_Hall '-C 2c 2'
loop_
_atom_site_label
_atom_site_fract_x
_atom_site_fract_y
_atom_site_fract_z
Pm1 0.000 0.108 0.250
Pu1 0.000 0.368 0.033
Ta1 0.000 0.155 0.750
N1 0.000 0.000 0.000
N2 0.000 0.263 0.629
N3 0.000 0.448 0.250
# Energy relative to the elements, uncorrected, kJ/mol of formula units: -837


# Ho5Co2 PBE optimized geometry
data_Ho5Co2
_cell_length_a 15.848
_cell_length_b 6.258
_cell_length_c 6.892
_cell_angle_alpha 90.00
_cell_angle_beta 96.78
_cell_angle_gamma 90.00
_space_group_name_H-M_alt 'C 1 2/c 1'
_space_group_IT_number 15
loop_
_space_group_symop_operation_xyz
'x,y,z'
'-x,-y,-z'
'-x,y,-z+1/2'
'x,-y,z+1/2'
'x+1/2,y+1/2,z'
'-x+1/2,-y+1/2,-z'
'-x+1/2,y+1/2,-z+1/2'
'x+1/2,-y+1/2,z+1/2'
loop_
_atom_site_label
_atom_site_fract_x
_atom_site_fract_y
_atom_site_fract_z
Ho1 0.000 0.070 0.250
Ho2 0.095 0.392 0.913
Ho3 0.216 0.069 0.315
Co1 0.112 0.212 0.572
# Energy relative to the elements, kJ/mol of formula units: -129.5